[1]
Computed, not measured: a relaxed structure of AcSi2NiOs at the PBE level of DFT.

Cell: 4.1108 4.1108 6.1943 Å, 109.38 109.38 90.00°
Fractional positions:
Ac (0.0000, 0.0000, 0.0000)
Si (0.3597, 0.3597, 0.7194)
Si (0.6403, 0.6403, 0.2806)
Os (0.7500, 0.2500, 0.5000)
Ni (0.2500, 0.7500, 0.5000)

The calculation puts the volume at 18.49 A^3/atom. The value obtained for the total energy is -7.0159 eV per atom.

---

[2]
Computed, not measured: a relaxed structure of AcTbNiOs at the PBE level of DFT.

Cell: 5.0186 5.0186 5.0186 Å, 60.00 60.00 60.00°
Fractional positions:
Os (0.2500, 0.2500, 0.2500)
Ni (0.7500, 0.7500, 0.7500)
Tb (0.5000, 0.5000, 0.5000)
Ac (0.0000, 0.0000, 0.0000)

The calculation puts the volume at 22.34 A^3/atom. The value obtained for the total energy is -6.4739 eV per atom. The calculation puts the formation energy at -0.8 kcal/mol of atoms.

---

[3]
Computed, not measured: a relaxed structure of AcYNiOs at the PBE level of DFT.

Cell: 5.0162 5.0162 5.0162 Å, 60.00 60.00 60.00°
Fractional positions:
Os (0.0000, 0.0000, 0.0000)
Y (0.7500, 0.7500, 0.7500)
Ac (0.2500, 0.2500, 0.2500)
Ni (0.5000, 0.5000, 0.5000)

The calculation puts the volume at 22.31 A^3/atom. The value obtained for the total energy is -6.9325 eV per atom. The calculation puts the formation energy at -0.8 kcal/mol of atoms.